Record 1
Sm2Er2Te3 | GGA-PBE | optimized geometry

The crystal system is monoclinic. The value obtained for the density of states at the Fermi level is 11.81 states/eV/cell.

The space group is C2/m (No. 12) and the conventional cell measures 15.993, 4.201 and 7.245 Å, with angles of 90.00, 115.15 and 90.00 degrees. The distinct sites, in fractional coordinates, are Sm at (0.119, 0.000, 0.313), Er at (0.104, 0.500, 0.743), Te at (0.000, 0.500, 0.000) and Te at (0.249, 0.000, 0.774).

Record 2
SmEr2Te5 | GGA-PBE | optimized geometry

The crystal system is tetragonal. The value obtained for the density of states at the Fermi level is 22.08 states/eV/cell.

The space group is I4/mcm (No. 140) and the conventional cell measures 8.103, 8.103 and 14.291 Å, with angles of 90.00, 90.00 and 90.00 degrees. The distinct sites, in fractional coordinates, are Sm at (0.000, 0.000, 0.250), Er at (0.151, 0.349, 0.000), Te at (0.000, 0.000, 0.000) and Te at (0.159, 0.341, 0.353).

Record 3
SmErTe6 | GGA-PBE | optimized geometry

The crystal system is orthorhombic. The value obtained for the density of states at the Fermi level is 5.22 states/eV/cell.

The space group is Amm2 (No. 38) and the conventional cell measures 4.352, 4.350 and 26.908 Å, with angles of 90.00, 90.00 and 90.00 degrees. The distinct sites, in fractional coordinates, are Sm at (0.000, 0.000, 0.000), Er at (0.500, 0.000, 0.655), Te at (0.000, 0.000, 0.121), Te at (0.000, 0.000, 0.405), Te at (0.000, 0.000, 0.747), Te at (0.500, 0.000, 0.247), Te at (0.500, 0.000, 0.536) and Te at (0.500, 0.000, 0.905).

Record 4
Sm2ErTe | GGA-PBE | optimized geometry

The crystal system is trigonal. The value obtained for the density of states at the Fermi level is 12.84 states/eV/cell. The value obtained for the excess energy over the best structure of this formula in the dataset is 52.2 meV/atom.

The space group is R-3m (No. 166, hexagonal axes) and the conventional cell measures 3.9107, 3.9107 and 30.0138 Å, with angles of 90.00, 90.00 and 120.00 degrees. The distinct sites, in fractional coordinates, are Sm at (0.0000, 0.0000, 0.2393), Er at (0.0000, 0.0000, 0.0000) and Te at (0.0000, 0.0000, 0.5000).

Record 5
SmEr6Te8 | GGA-PBE | optimized geometry

The crystal system is cubic. The value obtained for the density of states at the Fermi level is 26.27 states/eV/cell.

The space group is Fm-3m (No. 225) and the conventional cell measures 12.187, 12.187 and 12.187 Å, with angles of 90.00, 90.00 and 90.00 degrees. The distinct sites, in fractional coordinates, are Sm at (0.000, 0.000, 0.000), Er at (0.000, 0.250, 0.250), Te at (0.000, 0.000, 0.261) and Te at (0.250, 0.250, 0.250).

Record 6
Sm5Er3Te8 | GGA-PBE | optimized geometry

The crystal system is trigonal. The value obtained for the density of states at the Fermi level is 34.92 states/eV/cell.

The space group is R-3m (No. 166, hexagonal axes) and the conventional cell measures 8.7396, 8.7396 and 21.8360 Å, with angles of 90.00, 90.00 and 120.00 degrees. The distinct sites, in fractional coordinates, are Sm at (0.0000, 0.0000, 0.0000), Sm at (0.0000, 0.0000, 0.5000), Sm at (0.0000, 0.5000, 0.0000), Er at (0.0000, 0.5000, 0.5000), Te at (0.0000, 0.0000, 0.2462) and Te at (0.0051, 0.5025, 0.7526).

Record 7
SmEr8Te2 | GGA-PBE | optimized geometry

The crystal system is monoclinic. The value obtained for the density of states at the Fermi level is 26.60 states/eV/cell.

The space group is C2/m (No. 12) and the conventional cell measures 17.827, 11.190 and 3.828 Å, with angles of 90.00, 95.87 and 90.00 degrees. The distinct sites, in fractional coordinates, are Sm at (0.000, 0.000, 0.000), Er at (0.070, 0.500, 0.280), Er at (0.086, 0.259, 0.778), Er at (0.228, 0.500, 0.858) and Te at (0.140, 0.000, 0.571).

Record 8
SmEr5Te6 | GGA-PBE | optimized geometry

The crystal system is monoclinic. The value obtained for the density of states at the Fermi level is 10.79 states/eV/cell.

The space group is C2/m (No. 12) and the conventional cell measures 7.533, 13.014 and 7.493 Å, with angles of 90.00, 109.33 and 90.00 degrees. The distinct sites, in fractional coordinates, are Sm at (0.000, 0.000, 0.000), Er at (0.000, 0.156, 0.500), Er at (0.000, 0.333, 0.000), Er at (0.000, 0.500, 0.500), Te at (0.239, 0.500, 0.247) and Te at (0.243, 0.328, 0.743).

Record 9
Sm2Er3Te6 | GGA-PBE | optimized geometry

The crystal system is monoclinic. The value obtained for the density of states at the Fermi level is 10.03 states/eV/cell.

The space group is C2/m (No. 12) and the conventional cell measures 7.553, 13.005 and 7.538 Å, with angles of 90.00, 109.57 and 90.00 degrees. The distinct sites, in fractional coordinates, are Sm at (0.000, 0.164, 0.000), Er at (0.000, 0.000, 0.500), Er at (0.000, 0.329, 0.500), Te at (0.236, 0.500, 0.745) and Te at (0.243, 0.339, 0.251).

Record 10
SmEr2Te3 | GGA-PBE | optimized geometry

The crystal system is orthorhombic. The value obtained for the density of states at the Fermi level is 5.85 states/eV/cell.

The space group is Immm (No. 71) and the conventional cell measures 4.377, 6.143 and 13.091 Å, with angles of 90.00, 90.00 and 90.00 degrees. The distinct sites, in fractional coordinates, are Sm at (0.000, 0.000, 0.000), Er at (0.000, 0.000, 0.341), Te at (0.000, 0.500, 0.000) and Te at (0.000, 0.500, 0.325).

Record 11
Sm2Er3Te8 | GGA-PBE | optimized geometry

The crystal system is monoclinic. The value obtained for the density of states at the Fermi level is 12.10 states/eV/cell.

The space group is C2/m (No. 12) and the conventional cell measures 15.393, 8.706 and 7.513 Å, with angles of 90.00, 108.54 and 90.00 degrees. The distinct sites, in fractional coordinates, are Sm at (0.249, 0.000, 0.170), Er at (0.000, 0.243, 0.500), Er at (0.000, 0.500, 0.000), Te at (0.118, 0.000, 0.409), Te at (0.118, 0.500, 0.413) and Te at (0.119, 0.252, 0.911).

Record 12
Sm4ErTe2 | GGA-PBE | optimized geometry

The crystal system is trigonal. The value obtained for the density of states at the Fermi level is 18.56 states/eV/cell.

The space group is R-3m (No. 166, hexagonal axes) and the conventional cell measures 5.5064, 5.5064 and 26.8284 Å, with angles of 90.00, 90.00 and 120.00 degrees. The distinct sites, in fractional coordinates, are Sm at (0.0000, 0.0000, 0.1332), Sm at (0.0000, 0.0000, 0.2671), Er at (0.0000, 0.0000, 0.5000) and Te at (0.0000, 0.0000, 0.3855).

Record 13
Sm5ErTe6 | GGA-PBE | optimized geometry

The crystal system is monoclinic. The value obtained for the density of states at the Fermi level is 10.91 states/eV/cell.

The space group is C2/m (No. 12) and the conventional cell measures 7.662, 13.297 and 7.645 Å, with angles of 90.00, 109.50 and 90.00 degrees. The distinct sites, in fractional coordinates, are Sm at (0.000, 0.000, 0.000), Sm at (0.000, 0.168, 0.500), Sm at (0.000, 0.326, 0.000), Er at (0.000, 0.500, 0.500), Te at (0.242, 0.500, 0.250) and Te at (0.244, 0.338, 0.745).

Record 14
Sm2Er3ThTe6 | GGA-PBE | optimized geometry

The crystal system is monoclinic. The value obtained for the density of states at the Fermi level is 14.45 states/eV/cell.

The space group is C2/m (No. 12) and the conventional cell measures 19.486, 4.299 and 8.956 Å, with angles of 90.00, 106.92 and 90.00 degrees. The distinct sites, in fractional coordinates, are Sm at (0.158, 0.000, 0.313), Er at (0.000, 0.500, 0.500), Er at (0.165, 0.000, 0.825), Th at (0.000, 0.500, 0.000), Te at (0.005, 0.000, 0.740), Te at (0.168, 0.500, 0.582) and Te at (0.171, 0.500, 0.069).

Record 15
Sm3ErTl3Te8 | GGA-PBE | optimized geometry

The crystal system is monoclinic. The value obtained for the density of states at the Fermi level is 12.98 states/eV/cell.

The space group is C2/m (No. 12) and the conventional cell measures 15.441, 8.905 and 9.668 Å, with angles of 90.00, 122.22 and 90.00 degrees. The distinct sites, in fractional coordinates, are Sm at (0.000, 0.000, 0.000), Sm at (0.250, 0.250, 0.000), Er at (0.000, 0.500, 0.000), Tl at (0.000, 0.500, 0.500), Tl at (0.250, 0.250, 0.500), Te at (0.010, 0.254, 0.784), Te at (0.236, 0.500, 0.216) and Te at (0.240, 0.000, 0.221).

Record 16
SmErTlTe | GGA-PBE | optimized geometry

The crystal system is trigonal. The value obtained for the density of states at the Fermi level is 5.76 states/eV/cell.

The space group is R3m (No. 160, hexagonal axes) and the conventional cell measures 4.2122, 4.2122 and 23.6309 Å, with angles of 90.00, 90.00 and 120.00 degrees. The distinct sites, in fractional coordinates, are Sm at (0.0000, 0.0000, 0.0000), Er at (0.0000, 0.0000, 0.4978), Tl at (0.0000, 0.0000, 0.2464) and Te at (0.0000, 0.0000, 0.7517).

Record 17
SmErTm2Te6 | GGA-PBE | optimized geometry

The crystal system is trigonal.

The space group is R3 (No. 146, hexagonal axes) and the conventional cell measures 7.6771, 7.6771 and 20.9763 Å, with angles of 90.00, 90.00 and 120.00 degrees. The distinct sites, in fractional coordinates, are Sm at (0.0000, 0.0000, 0.0000), Er at (0.0000, 0.0000, 0.4980), Tm at (0.0000, 0.0000, 0.3122), Tm at (0.0000, 0.0000, 0.8137), Te at (0.0053, 0.3197, 0.9032) and Te at (0.0136, 0.6968, 0.4046).

Record 18
Sm2Er3TmTe6 | GGA-PBE | optimized geometry

The crystal system is monoclinic. The value obtained for the density of states at the Fermi level is 13.54 states/eV/cell.

The space group is C2/m (No. 12) and the conventional cell measures 19.064, 4.324 and 8.769 Å, with angles of 90.00, 103.46 and 90.00 degrees. The distinct sites, in fractional coordinates, are Sm at (0.172, 0.000, 0.338), Er at (0.000, 0.500, 0.500), Er at (0.173, 0.000, 0.835), Tm at (0.000, 0.500, 0.000), Te at (0.003, 0.000, 0.753), Te at (0.162, 0.500, 0.589) and Te at (0.163, 0.500, 0.075).

Record 19
SmEr2Tm3Te6 | GGA-PBE | optimized geometry

The crystal system is monoclinic. The value obtained for the density of states at the Fermi level is 12.95 states/eV/cell.

The space group is C2/m (No. 12) and the conventional cell measures 18.973, 4.301 and 8.723 Å, with angles of 90.00, 104.30 and 90.00 degrees. The distinct sites, in fractional coordinates, are Sm at (0.000, 0.000, 0.000), Er at (0.163, 0.500, 0.326), Tm at (0.000, 0.000, 0.500), Tm at (0.162, 0.500, 0.831), Te at (0.000, 0.500, 0.259), Te at (0.168, 0.000, 0.583) and Te at (0.172, 0.000, 0.082).

Record 20
Sm2ErTm3Te6 | GGA-PBE | optimized geometry

The crystal system is monoclinic. The value obtained for the density of states at the Fermi level is 12.82 states/eV/cell.

The space group is C2/m (No. 12) and the conventional cell measures 19.100, 4.312 and 8.781 Å, with angles of 90.00, 104.54 and 90.00 degrees. The distinct sites, in fractional coordinates, are Sm at (0.171, 0.000, 0.339), Er at (0.000, 0.500, 0.000), Tm at (0.000, 0.500, 0.500), Tm at (0.172, 0.000, 0.836), Te at (0.003, 0.000, 0.751), Te at (0.162, 0.500, 0.592) and Te at (0.164, 0.500, 0.075).

Record 21
SmYEr2Te6 | GGA-PBE | optimized geometry

The crystal system is trigonal.

The space group is R3 (No. 146, hexagonal axes) and the conventional cell measures 7.7110, 7.7110 and 21.0640 Å, with angles of 90.00, 90.00 and 120.00 degrees. The distinct sites, in fractional coordinates, are Sm at (0.0000, 0.0000, 0.0000), Y at (0.0000, 0.0000, 0.5017), Er at (0.0000, 0.0000, 0.1868), Er at (0.0000, 0.0000, 0.6880), Te at (0.0213, 0.3482, 0.7632) and Te at (0.0292, 0.6796, 0.2625).

Energy relative to the elements, uncorrected for every record listed, in sequence, given in meV/atom: -1000, -1168, -921, -517, -1323, -1316, -148, -1241, -1391, -1269, -1266, -556, -1357, -1232, -1058, -809, -1343, -1264, -1219, -1251, -1361.